(1)
Here is crystalline TaOsW2 at its relaxed geometry from Alexandria via LeMat-Bulk. Energies are from PBE-GGA.

```
TaOsW2
1.0
4.5075 0.0000 0.0000
0.0000 2.7921 0.0090
0.0000 1.0072 5.1351
Ta Os W
1 1 2
Direct
0.5000 0.7500 0.7500
0.5000 0.2500 0.2500
0.0000 0.5079 0.4996
0.0000 0.9921 0.0004
```

Calculated values
Volume ... 65 Å³/cell
E_form ... 1.74 kJ per mole of atoms
Fermi-level density of states ... 3.67 states/eV per cell
ΔE to the lowest computed polymorph ... 76 meV per atom
Density ... 18997 kg/m³
Space-group type ... P2/m (10)

***

(2)
Here is crystalline Tc3Br at its relaxed geometry from Alexandria via LeMat-Bulk. Energies are from PBE-GGA.

```
Tc3Br
1.0
5.0144 0.0026 0.0075
-2.2111 4.5006 0.0075
-2.2111 -3.5518 2.7640
Tc Br
3 1
Direct
0.5000 0.0000 0.5000
0.0000 0.5000 0.5000
0.5000 0.5000 0.0000
0.0000 0.0000 0.0000
```

Calculated values
ΔE_f (raw) ... 956 meV per atom
Volume ... 63 Å³/cell
Fermi-level density of states ... 5.05 states/eV per cell
ΔE to the lowest computed polymorph ... 447 meV per atom
Density ... 9909 kg/m³
Space-group type ... R-3m (166)

***

(3)
Here is crystalline Ho2ScP3 at its relaxed geometry from Alexandria via LeMat-Bulk. Energies are from PBE-GGA.

```
Ho2ScP3
1.0
3.9146 0.0000 0.0000
0.0000 5.5501 0.0000
-1.9573 -2.7750 5.8607
P Ho Sc
3 2 1
Direct
0.3406 0.3406 0.6813
0.6594 0.6594 0.3187
0.0000 0.0000 0.0000
0.6678 0.1678 0.3356
0.3322 0.8322 0.6644
0.0000 0.5000 0.0000
```

Calculated values
Volume ... 127 Å³/cell
E_form ... -149.78 kJ per mole of atoms
Fermi-level density of states ... 0.97 states/eV per cell
ΔE to the lowest computed polymorph ... 4 meV per atom
Density ... 6100 kg/m³
Space-group type ... Immm (71)